This record from Alexandria via LeMat-Bulk describes TaZn3Os after structural relaxation. The functional is PBE-GGA.

```
data_TaZn3Os
_cell_length_a 4.866
_cell_length_b 4.866
_cell_length_c 4.866
_cell_angle_alpha 90.00
_cell_angle_beta 90.00
_cell_angle_gamma 90.00
_space_group_name_H-M_alt 'P 1'
_space_group_IT_number 1
loop_
_space_group_symop_operation_xyz
'x,y,z'
loop_
_atom_site_label
_atom_site_type_symbol
_atom_site_fract_x
_atom_site_fract_y
_atom_site_fract_z
Ta1 Ta 0.000 0.000 0.000
Zn1 Zn 0.000 0.000 0.500
Zn2 Zn 0.000 0.500 0.000
Zn3 Zn 0.500 0.000 0.000
Os1 Os 0.500 0.500 0.500
```

Computed properties:
Formation energy from the elements ... 10.39 eV/f.u.
Offset from the most stable computed form ... 774 meV/atom


This record from Alexandria via LeMat-Bulk describes TaZn2Os after structural relaxation. The functional is PBE-GGA.

```
data_TaZn2Os
_cell_length_a 3.186
_cell_length_b 3.186
_cell_length_c 6.141
_cell_angle_alpha 90.00
_cell_angle_beta 90.00
_cell_angle_gamma 90.00
_space_group_name_H-M_alt 'P 1'
_space_group_IT_number 1
loop_
_space_group_symop_operation_xyz
'x,y,z'
loop_
_atom_site_label
_atom_site_type_symbol
_atom_site_fract_x
_atom_site_fract_y
_atom_site_fract_z
Ta1 Ta 0.000 0.000 0.000
Zn1 Zn 0.000 0.000 0.513
Zn2 Zn 0.500 0.500 0.294
Os1 Os 0.500 0.500 0.778
```

Computed properties:
Formation energy from the elements ... -0.07 eV/f.u.
Offset from the most stable computed form ... 0 meV/atom


This record from Alexandria via LeMat-Bulk describes TaZnOs2 after structural relaxation. The functional is PBE-GGA.

```
data_TaZnOs2
_cell_length_a 9.047
_cell_length_b 9.047
_cell_length_c 9.047
_cell_angle_alpha 17.91
_cell_angle_beta 17.91
_cell_angle_gamma 17.91
_space_group_name_H-M_alt 'P 1'
_space_group_IT_number 1
loop_
_space_group_symop_operation_xyz
'x,y,z'
loop_
_atom_site_label
_atom_site_type_symbol
_atom_site_fract_x
_atom_site_fract_y
_atom_site_fract_z
Ta1 Ta 0.000 0.000 0.000
Zn1 Zn 0.500 0.500 0.500
Os1 Os 0.249 0.249 0.249
Os2 Os 0.751 0.751 0.751
```

Computed properties:
Formation energy from the elements ... 0.44 eV/f.u.


This record from Alexandria via LeMat-Bulk describes TaZnOs2 after structural relaxation. The functional is PBE-GGA.

```
data_TaZnOs2
_cell_length_a 4.423
_cell_length_b 4.423
_cell_length_c 4.423
_cell_angle_alpha 60.00
_cell_angle_beta 60.00
_cell_angle_gamma 60.00
_space_group_name_H-M_alt 'P 1'
_space_group_IT_number 1
loop_
_space_group_symop_operation_xyz
'x,y,z'
loop_
_atom_site_label
_atom_site_type_symbol
_atom_site_fract_x
_atom_site_fract_y
_atom_site_fract_z
Ta1 Ta 0.000 0.000 0.000
Zn1 Zn 0.250 0.250 0.250
Os1 Os 0.500 0.500 0.500
Os2 Os 0.750 0.750 0.750
```

Computed properties:
Formation energy from the elements ... 1.10 eV/f.u.